1.
# Pu2AlCu4Si3, optimized geometry, DFT PBE
# formation energy (no corrections) = -0.356 eV per atom
# DOS at the Fermi energy = 22.7 states/eV/f.u.
# crystal system = tetragonal
data_Pu2AlCu4Si3
_cell_length_a 4.019
_cell_length_b 4.019
_cell_length_c 10.089
_cell_angle_alpha 90.00
_cell_angle_beta 90.00
_cell_angle_gamma 90.00
_space_group_name_H-M_alt 'P -4 m 2'
_space_group_IT_number 115
loop_
_space_group_symop_operation_xyz
'x,y,z'
'y,-x,-z'
'-x,-y,z'
'-y,x,-z'
'-x,y,z'
'-y,-x,-z'
'x,-y,z'
'y,x,-z'
loop_
_atom_site_label
_atom_site_type_symbol
_atom_site_fract_x
_atom_site_fract_y
_atom_site_fract_z
Pu1 Pu 0.000 0.500 0.241
Al1 Al 0.000 0.000 0.500
Cu1 Cu 0.000 0.000 0.000
Cu2 Cu 0.000 0.500 0.636
Cu3 Cu 0.500 0.500 0.000
Si1 Si 0.000 0.500 0.867
Si2 Si 0.500 0.500 0.500



2.
# PuAl3ZnCu, optimized geometry, DFT PBE
# DOS at the Fermi energy = 9.6 states/eV/f.u.
# crystal system = orthorhombic
# energy relative to the elements = -0.029 eV per atom
data_PuAl3ZnCu
_cell_length_a 5.988
_cell_length_b 12.717
_cell_length_c 5.811
_cell_angle_alpha 90.00
_cell_angle_beta 90.00
_cell_angle_gamma 90.00
_space_group_name_H-M_alt 'C m c m'
_space_group_IT_number 63
_space_group_name_Hall '-C 2c 2'
loop_
_atom_site_label
_atom_site_type_symbol
_atom_site_fract_x
_atom_site_fract_y
_atom_site_fract_z
Pu1 Pu 0.000 0.204 0.250
Al1 Al 0.000 0.366 0.750
Al2 Al 0.215 0.000 0.000
Zn1 Zn 0.000 0.155 0.750
Cu1 Cu 0.000 0.418 0.250



3.
# PuAl4ZnCu2, optimized geometry, DFT PBE
# DOS at the Fermi energy = 12.9 states/eV/f.u.
# crystal system = trigonal
# energy relative to the elements = -0.083 eV per atom
data_PuAl4ZnCu2
_cell_length_a 4.2434
_cell_length_b 4.2434
_cell_length_c 26.3732
_cell_angle_alpha 90.00
_cell_angle_beta 90.00
_cell_angle_gamma 120.00
_space_group_name_H-M_alt 'R -3 m'
_space_group_IT_number 166
_space_group_name_Hall '-R 3 2"'
loop_
_atom_site_label
_atom_site_type_symbol
_atom_site_fract_x
_atom_site_fract_y
_atom_site_fract_z
Pu1 Pu 0.0000 0.0000 0.0000
Al1 Al 0.0000 0.0000 0.1250
Al2 Al 0.0000 0.0000 0.4013
Zn1 Zn 0.0000 0.0000 0.5000
Cu1 Cu 0.0000 0.0000 0.2379



4.
# PuAlZn4Cu2, optimized geometry, DFT PBE
# DOS at the Fermi energy = 12.2 states/eV/f.u.
# crystal system = trigonal
# energy relative to the elements = 0.004 eV per atom
data_PuAlZn4Cu2
_cell_length_a 4.1921
_cell_length_b 4.1921
_cell_length_c 26.8441
_cell_angle_alpha 90.00
_cell_angle_beta 90.00
_cell_angle_gamma 120.00
_space_group_name_H-M_alt 'R -3 m'
_space_group_IT_number 166
_space_group_name_Hall '-R 3 2"'
loop_
_atom_site_label
_atom_site_type_symbol
_atom_site_fract_x
_atom_site_fract_y
_atom_site_fract_z
Pu1 Pu 0.0000 0.0000 0.0000
Al1 Al 0.0000 0.0000 0.5000
Zn1 Zn 0.0000 0.0000 0.1233
Zn2 Zn 0.0000 0.0000 0.4018
Cu1 Cu 0.0000 0.0000 0.2347



5.
# PuAlZnCu2, optimized geometry, DFT PBE
# DOS at the Fermi energy = 12.5 states/eV/f.u.
# crystal system = tetragonal
# energy relative to the elements = -0.120 eV per atom
data_PuAlZnCu2
_cell_length_a 3.984
_cell_length_b 3.984
_cell_length_c 11.039
_cell_angle_alpha 90.00
_cell_angle_beta 90.00
_cell_angle_gamma 90.00
_space_group_name_H-M_alt 'I -4 m 2'
_space_group_IT_number 119
_space_group_name_Hall 'I -4 -2'
loop_
_atom_site_label
_atom_site_type_symbol
_atom_site_fract_x
_atom_site_fract_y
_atom_site_fract_z
Pu1 Pu 0.000 0.000 0.000
Al1 Al 0.000 0.500 0.250
Zn1 Zn 0.000 0.500 0.750
Cu1 Cu 0.000 0.000 0.389



6.
# Pu2AlZn3Cu4, optimized geometry, DFT PBE
# DOS at the Fermi energy = 23.6 states/eV/f.u.
# crystal system = tetragonal
# energy relative to the elements = -0.072 eV per atom
data_Pu2AlZn3Cu4
_cell_length_a 4.063
_cell_length_b 4.063
_cell_length_c 10.628
_cell_angle_alpha 90.00
_cell_angle_beta 90.00
_cell_angle_gamma 90.00
_space_group_name_H-M_alt 'P -4 m 2'
_space_group_IT_number 115
loop_
_space_group_symop_operation_xyz
'x,y,z'
'y,-x,-z'
'-x,-y,z'
'-y,x,-z'
'-x,y,z'
'-y,-x,-z'
'x,-y,z'
'y,x,-z'
loop_
_atom_site_label
_atom_site_type_symbol
_atom_site_fract_x
_atom_site_fract_y
_atom_site_fract_z
Pu1 Pu 0.000 0.500 0.247
Al1 Al 0.000 0.000 0.500
Zn1 Zn 0.000 0.500 0.869
Zn2 Zn 0.500 0.500 0.500
Cu1 Cu 0.000 0.000 0.000
Cu2 Cu 0.000 0.500 0.639
Cu3 Cu 0.500 0.500 0.000



7.
# Rb3AlCu, optimized geometry, DFT PBE
# energy relative to the lowest polymorph listed for this composition = 0.00 eV per formula unit
# DOS at the Fermi energy = 3.9 states/eV/f.u.
# crystal system = cubic
# energy relative to the elements = 0.574 eV per atom
data_Rb3AlCu
_cell_length_a 6.483
_cell_length_b 6.483
_cell_length_c 6.483
_cell_angle_alpha 90.00
_cell_angle_beta 90.00
_cell_angle_gamma 90.00
_space_group_name_H-M_alt 'P m -3 m'
_space_group_IT_number 221
_space_group_name_Hall '-P 4 2 3'
loop_
_atom_site_label
_atom_site_type_symbol
_atom_site_fract_x
_atom_site_fract_y
_atom_site_fract_z
Rb1 Rb 0.000 0.000 0.500
Al1 Al 0.500 0.500 0.500
Cu1 Cu 0.000 0.000 0.000



8.
# RbAl3Cu, optimized geometry, DFT PBE
# energy relative to the lowest polymorph listed for this composition = 0.00 eV per formula unit
# DOS at the Fermi energy = 3.0 states/eV/f.u.
# crystal system = cubic
# energy relative to the elements = 0.359 eV per atom
data_RbAl3Cu
_cell_length_a 4.893
_cell_length_b 4.893
_cell_length_c 4.893
_cell_angle_alpha 90.00
_cell_angle_beta 90.00
_cell_angle_gamma 90.00
_space_group_name_H-M_alt 'P m -3 m'
_space_group_IT_number 221
_space_group_name_Hall '-P 4 2 3'
loop_
_atom_site_label
_atom_site_type_symbol
_atom_site_fract_x
_atom_site_fract_y
_atom_site_fract_z
Rb1 Rb 0.000 0.000 0.000
Al1 Al 0.000 0.500 0.500
Cu1 Cu 0.500 0.500 0.500



9.
# RbAl3Cu, optimized geometry, DFT PBE
# energy relative to the lowest polymorph listed for this composition = 8.07 eV per formula unit
# DOS at the Fermi energy = 7.7 states/eV/f.u.
# crystal system = cubic
# energy relative to the elements = 1.973 eV per atom
data_RbAl3Cu
_cell_length_a 5.982
_cell_length_b 5.982
_cell_length_c 5.982
_cell_angle_alpha 90.00
_cell_angle_beta 90.00
_cell_angle_gamma 90.00
_space_group_name_H-M_alt 'P m -3 m'
_space_group_IT_number 221
_space_group_name_Hall '-P 4 2 3'
loop_
_atom_site_label
_atom_site_type_symbol
_atom_site_fract_x
_atom_site_fract_y
_atom_site_fract_z
Rb1 Rb 0.000 0.000 0.000
Al1 Al 0.000 0.000 0.500
Cu1 Cu 0.500 0.500 0.500



10.
# RbAlCu2Te4, optimized geometry, DFT PBE
# formation energy (no corrections) = -0.212 eV per atom
# DOS at the Fermi energy = 6.2 states/eV/f.u.
# crystal system = orthorhombic
data_RbAlCu2Te4
_cell_length_a 6.996
_cell_length_b 8.669
_cell_length_c 9.122
_cell_angle_alpha 90.00
_cell_angle_beta 90.00
_cell_angle_gamma 90.00
_space_group_name_H-M_alt 'I 2 2 2'
_space_group_IT_number 23
loop_
_space_group_symop_operation_xyz
'x,y,z'
'-x,-y,z'
'x,-y,-z'
'-x,y,-z'
'x+1/2,y+1/2,z+1/2'
'-x+1/2,-y+1/2,z+1/2'
'x+1/2,-y+1/2,-z+1/2'
'-x+1/2,y+1/2,-z+1/2'
loop_
_atom_site_label
_atom_site_type_symbol
_atom_site_fract_x
_atom_site_fract_y
_atom_site_fract_z
Rb1 Rb 0.000 0.000 0.000
Al1 Al 0.000 0.500 0.000
Cu1 Cu 0.000 0.138 0.500
Te1 Te 0.233 0.350 0.823



11.
# Rb2AlCu2Te4, optimized geometry, DFT PBE
# formation energy (no corrections) = -0.470 eV per atom
# DOS at the Fermi energy = 3.1 states/eV/f.u.
# crystal system = triclinic
data_Rb2AlCu2Te4
_cell_length_a 4.443
_cell_length_b 8.151
_cell_length_c 8.685
_cell_angle_alpha 107.07
_cell_angle_beta 99.16
_cell_angle_gamma 100.05
_space_group_name_H-M_alt 'P -1'
_space_group_IT_number 2
loop_
_space_group_symop_operation_xyz
'x,y,z'
'-x,-y,-z'
loop_
_atom_site_label
_atom_site_type_symbol
_atom_site_fract_x
_atom_site_fract_y
_atom_site_fract_z
Rb1 Rb 0.161 0.134 0.306
Al1 Al 0.000 0.500 0.000
Cu1 Cu 0.434 0.459 0.831
Te1 Te 0.138 0.599 0.352
Te2 Te 0.462 0.788 0.034



12.
# RbAlZn2Cu, optimized geometry, DFT PBE
# DOS at the Fermi energy = 2.4 states/eV/f.u.
# crystal system = tetragonal
# energy relative to the elements = 0.206 eV per atom
data_RbAlZn2Cu
_cell_length_a 4.941
_cell_length_b 4.941
_cell_length_c 4.763
_cell_angle_alpha 90.00
_cell_angle_beta 90.00
_cell_angle_gamma 90.00
_space_group_name_H-M_alt 'P 4/m m m'
_space_group_IT_number 123
_space_group_name_Hall '-P 4 2'
loop_
_atom_site_label
_atom_site_type_symbol
_atom_site_fract_x
_atom_site_fract_y
_atom_site_fract_z
Rb1 Rb 0.000 0.000 0.000
Al1 Al 0.500 0.500 0.000
Zn1 Zn 0.000 0.500 0.500
Cu1 Cu 0.500 0.500 0.500